Entry 1:
VASP calculation (GGA-PBE) on an optimized crystal structure of Ac3Hg2Au9.

Cell: 4.7921 9.7975 14.4070 Å, 90.00 90.00 90.00°
Space group Immm (No. 71)
Unique sites:
Ac: 0.0000 0.0000 0.0000 (multiplicity 2)
Ac: 0.0000 0.0000 0.2948 (multiplicity 4)
Hg: 0.0000 0.1901 0.5000 (multiplicity 4)
Au: 0.0000 0.2865 0.1367 (multiplicity 8)
Au: 0.0000 0.3605 0.3371 (multiplicity 8)
Au: 0.0000 0.5000 0.0000 (multiplicity 2)

density	14.017	Mg/m³
crystal system	orthorhombic
density of states at the Fermi level	10.18	states/eV/cell
M_tot	0.000	μB per atom
electronic total energy	-3.62	eV/atom

---

Entry 2:
VASP calculation (GGA-PBE) on an optimized crystal structure of Ac4HgAu.

Cell: 3.9690 3.9690 13.8693 Å, 90.00 90.00 90.00°
Space group P4/mmm (No. 123)
Unique sites:
Ac: 0.0000 0.0000 0.1365 (multiplicity 2)
Ac: 0.5000 0.5000 0.3512 (multiplicity 2)
Hg: 0.0000 0.0000 0.5000 (multiplicity 1)
Au: 0.5000 0.5000 0.0000 (multiplicity 1)

energy relative to the lowest polymorph listed for this composition	0.00	eV/f.u.
density	9.923	Mg/m³
crystal system	tetragonal
density of states at the Fermi level	8.00	states/eV/cell
M_tot	0.000	μB per atom
electronic total energy	-3.73	eV/atom

---

Entry 3:
VASP calculation (GGA-PBE) on an optimized crystal structure of Ac3Hg4Au4.

Cell: 4.0546 4.7255 15.8343 Å, 81.63 82.68 90.00°
Space group P-1 (No. 2)
Unique sites:
Ac: 0.0000 0.0000 0.0000 (multiplicity 1)
Ac: 0.1457 0.6437 0.7101 (multiplicity 2)
Hg: 0.2580 0.2580 0.4848 (multiplicity 2)
Hg: 0.4041 0.9064 0.1878 (multiplicity 2)
Au: 0.3143 0.8155 0.3702 (multiplicity 2)
Au: 0.4546 0.4544 0.0901 (multiplicity 2)

density	12.670	Mg/m³
crystal system	triclinic
density of states at the Fermi level	6.09	states/eV/cell
M_tot	0.000	μB per atom
electronic total energy	-2.99	eV/atom

---

Entry 4:
VASP calculation (GGA-PBE) on an optimized crystal structure of Ac6HgAu2.

Cell: 10.3829 10.9950 11.5566 Å, 90.00 90.00 90.00°
Space group Immm (No. 71)
Unique sites:
Ac: 0.0000 0.1884 0.2416 (multiplicity 8)
Ac: 0.1940 0.5000 0.1695 (multiplicity 8)
Ac: 0.2182 0.3243 0.5000 (multiplicity 8)
Hg: 0.0000 0.0000 0.0000 (multiplicity 2)
Hg: 0.0000 0.0000 0.5000 (multiplicity 2)
Au: 0.0000 0.3395 0.0000 (multiplicity 4)
Au: 0.0000 0.5000 0.3722 (multiplicity 4)

density	9.850	Mg/m³
crystal system	orthorhombic
density of states at the Fermi level	41.14	states/eV/cell
M_tot	0.000	μB per atom
electronic total energy	-3.94	eV/atom